Entry 1:
# LiCd2Si2 | Alexandria via LeMat-Bulk | PBE | relaxed
# - Density of states at the Fermi level: 1.2 states/eV/cell
# - Relative energy among the computed polymorphs: 0 meV/atom
# - Space group: I4/mmm
data_LiCd2Si2
_chemical_formula_sum 'Li1 Cd2 Si2'
_space_group_name_H-M_alt 'P 1'
_space_group_IT_number 1
_space_group_name_Hall 'P 1'
_cell_length_a 4.418
_cell_length_b 4.418
_cell_length_c 6.268
_cell_angle_alpha 69.37
_cell_angle_beta 69.37
_cell_angle_gamma 90.00
loop_
_atom_site_label
_atom_site_fract_x
_atom_site_fract_y
_atom_site_fract_z
Si1 0.605 0.605 0.790
Si2 0.395 0.395 0.210
Cd1 0.750 0.250 0.500
Cd2 0.250 0.750 0.500
Li1 0.000 0.000 0.000

***

Entry 2:
# Zn3BO | Alexandria via LeMat-Bulk | PBE | relaxed
# - Density of states at the Fermi level: 2.4 states/eV/cell
# - Relative energy among the computed polymorphs: 0 meV/atom
# - Space group: Pm-3m
data_Zn3BO
_chemical_formula_sum 'Zn3 B1 O1'
_space_group_name_H-M_alt 'P 1'
_space_group_IT_number 1
_space_group_name_Hall 'P 1'
_cell_length_a 4.094
_cell_length_b 4.094
_cell_length_c 4.094
_cell_angle_alpha 90.00
_cell_angle_beta 90.00
_cell_angle_gamma 90.00
loop_
_atom_site_label
_atom_site_fract_x
_atom_site_fract_y
_atom_site_fract_z
Zn1 0.500 0.000 0.000
Zn2 0.000 0.000 0.500
Zn3 0.000 0.500 0.000
B1 0.000 0.000 0.000
O1 0.500 0.500 0.500

***

Entry 3:
# Ac2Nd5Er4 | Alexandria via LeMat-Bulk | PBE | relaxed
# - Formation energy from the elements: 0.04 eV per atom
# - Density of states at the Fermi level: 15.6 states/eV/cell
# - Space group: P-1
data_Ac2Nd5Er4
_chemical_formula_sum 'Ac2 Nd5 Er4'
_space_group_name_H-M_alt 'P 1'
_space_group_IT_number 1
_space_group_name_Hall 'P 1'
_cell_length_a 6.337
_cell_length_b 9.769
_cell_length_c 13.234
_cell_angle_alpha 125.45
_cell_angle_beta 143.10
_cell_angle_gamma 70.69
loop_
_atom_site_label
_atom_site_fract_x
_atom_site_fract_y
_atom_site_fract_z
Ac1 0.224 0.270 0.316
Ac2 0.776 0.730 0.684
Nd1 0.684 0.815 0.954
Nd2 0.500 0.000 0.500
Nd3 0.942 0.545 0.131
Nd4 0.316 0.185 0.046
Nd5 0.058 0.455 0.869
Er1 0.145 0.361 0.594
Er2 0.611 0.910 0.236
Er3 0.389 0.090 0.764
Er4 0.855 0.639 0.406

***

Entry 4:
# Zn2SbMo | Alexandria via LeMat-Bulk | PBE | relaxed
# - Density of states at the Fermi level: 2.8 states/eV/cell
# - Total energy: -4.11 eV/atom
# - Space group: I4/mmm
data_Zn2SbMo
_chemical_formula_sum 'Zn2 Sb1 Mo1'
_space_group_name_H-M_alt 'P 1'
_space_group_IT_number 1
_space_group_name_Hall 'P 1'
_cell_length_a 5.302
_cell_length_b 5.302
_cell_length_c 5.302
_cell_angle_alpha 137.05
_cell_angle_beta 137.05
_cell_angle_gamma 62.36
loop_
_atom_site_label
_atom_site_fract_x
_atom_site_fract_y
_atom_site_fract_z
Mo1 0.250 0.750 0.500
Zn1 0.000 0.000 0.000
Zn2 0.500 0.500 0.000
Sb1 0.750 0.250 0.500

***

Entry 5:
# MgTa2Cl | Alexandria via LeMat-Bulk | PBE | relaxed
# - Density of states at the Fermi level: 6.0 states/eV/cell
# - Relative energy among the computed polymorphs: 835 meV/atom
# - Space group: I-4m2
data_MgTa2Cl
_chemical_formula_sum 'Mg1 Ta2 Cl1'
_space_group_name_H-M_alt 'P 1'
_space_group_IT_number 1
_space_group_name_Hall 'P 1'
_cell_length_a 5.182
_cell_length_b 5.182
_cell_length_c 5.182
_cell_angle_alpha 132.52
_cell_angle_beta 132.52
_cell_angle_gamma 69.40
loop_
_atom_site_label
_atom_site_fract_x
_atom_site_fract_y
_atom_site_fract_z
Ta1 0.250 0.750 0.500
Ta2 0.000 0.000 0.000
Cl1 0.500 0.500 0.000
Mg1 0.750 0.250 0.500

***

Entry 6:
# Sc4Hg3Rh | Alexandria via LeMat-Bulk | PBE | relaxed
# - Formation energy from the elements: -0.56 eV per atom
# - Density of states at the Fermi level: 6.8 states/eV/cell
# - Space group: P4/mmm
data_Sc4Hg3Rh
_chemical_formula_sum 'Sc4 Hg3 Rh1'
_space_group_name_H-M_alt 'P 1'
_space_group_IT_number 1
_space_group_name_Hall 'P 1'
_cell_length_a 3.388
_cell_length_b 3.388
_cell_length_c 14.324
_cell_angle_alpha 90.00
_cell_angle_beta 90.00
_cell_angle_gamma 90.00
loop_
_atom_site_label
_atom_site_fract_x
_atom_site_fract_y
_atom_site_fract_z
Rh1 0.500 0.500 0.000
Hg1 0.500 0.500 0.760
Hg2 0.500 0.500 0.500
Hg3 0.500 0.500 0.240
Sc1 0.000 0.000 0.630
Sc2 0.000 0.000 0.894
Sc3 0.000 0.000 0.106
Sc4 0.000 0.000 0.370

***

Entry 7:
# NaAlHgO2 | Alexandria via LeMat-Bulk | PBE | relaxed
# - Density of states at the Fermi level: 5.6 states/eV/cell
# - Total energy: -2.55 eV/atom
# - Space group: P4/mmm
data_NaAlHgO2
_chemical_formula_sum 'Na1 Al1 Hg1 O2'
_space_group_name_H-M_alt 'P 1'
_space_group_IT_number 1
_space_group_name_Hall 'P 1'
_cell_length_a 4.180
_cell_length_b 5.276
_cell_length_c 4.180
_cell_angle_alpha 90.00
_cell_angle_beta 90.00
_cell_angle_gamma 90.00
loop_
_atom_site_label
_atom_site_fract_x
_atom_site_fract_y
_atom_site_fract_z
Al1 0.000 0.500 0.000
Na1 0.000 0.000 0.000
Hg1 0.500 0.500 0.500
O1 0.000 0.000 0.500
O2 0.500 0.000 0.000

***

Entry 8:
# Pm4InBi3 | Alexandria via LeMat-Bulk | PBE | relaxed
# - Formation energy from the elements: -0.73 eV per atom
# - Density of states at the Fermi level: 4.3 states/eV/cell
# - Space group: Pm-3m
data_Pm4InBi3
_chemical_formula_sum 'Pm4 In1 Bi3'
_space_group_name_H-M_alt 'P 1'
_space_group_IT_number 1
_space_group_name_Hall 'P 1'
_cell_length_a 6.451
_cell_length_b 6.451
_cell_length_c 6.451
_cell_angle_alpha 90.00
_cell_angle_beta 90.00
_cell_angle_gamma 90.00
loop_
_atom_site_label
_atom_site_fract_x
_atom_site_fract_y
_atom_site_fract_z
In1 0.000 0.000 0.000
Pm1 0.000 0.500 0.000
Pm2 0.000 0.000 0.500
Pm3 0.500 0.000 0.000
Pm4 0.500 0.500 0.500
Bi1 0.500 0.500 0.000
Bi2 0.000 0.500 0.500
Bi3 0.500 0.000 0.500

***

> density of states at the Fermi level of number 4 (Zn2SbMo)?

2.8 states/eV/cell

***

> Which formula does entry 5 have?

MgTa2Cl

***

> Which value of density of states at the Fermi level does entry 5 give?

6.0 states/eV/cell